KMg2In | meta-GGA SCAN | PBEsol geometry

Lattice parameters (Å, degrees): 3.263 4.338 8.342 90.00 90.00 90.00
Positions (direct):
In 0.000 0.000 0.437
K 0.500 0.500 0.736
Mg 0.000 0.000 0.065
Mg 0.500 0.500 0.262

Summary:
final energy = -12.94 eV per atom
calculated formation energy = -0.0276 eV per atom

***

K2BeNbB | meta-GGA SCAN | PBEsol geometry

Lattice parameters (Å, degrees): 4.116 6.464 6.464 90.00 90.00 90.00
Each line ends with the local moment (μB).
Positions (direct):
Be 0.500 0.500 0.500  -0.01
Nb 0.000 0.000 0.000  1.74
B 0.500 0.000 0.000  -0.06
K 0.000 0.000 0.500  0.04
K 0.000 0.500 0.000  0.04

Summary:
final energy = -10.70 eV per atom
calculated formation energy = 1.6158 eV per atom

***

ScInHg | meta-GGA SCAN | PBEsol geometry

Lattice parameters (Å, degrees): 4.720 4.720 4.720 60.00 60.00 60.00
Positions (direct):
Hg 0.000 0.000 0.000
In 0.500 0.500 0.500
Sc 0.250 0.250 0.250

Summary:
final energy = -38.77 eV per atom
calculated formation energy = -0.1738 eV per atom

***

BeSiSb | meta-GGA SCAN | PBEsol geometry

Lattice parameters (Å, degrees): 2.860 3.478 6.134 106.47 103.48 90.00
Positions (direct):
Sb 0.329 0.329 0.658
Si 0.560 0.560 0.120
Be 0.111 0.111 0.222

Summary:
final energy = -16.75 eV per atom
raw formation energy = 0.46 eV per atom

***

NdGdIr2 | meta-GGA SCAN | PBEsol geometry

Lattice parameters (Å, degrees): 4.881 4.881 4.881 60.00 60.00 60.00
Each line ends with the local moment (μB).
Positions (direct):
Gd 0.500 0.500 0.500  -7.10
Ir 0.750 0.750 0.750  0.30
Ir 0.250 0.250 0.250  0.30
Nd 0.000 0.000 0.000  -0.04

Summary:
final energy = -61.88 eV per atom
calculated formation energy = -0.7297 eV per atom

***

ZrTlMoRu2 | meta-GGA SCAN | PBEsol geometry

Lattice parameters (Å, degrees): 4.777 4.777 4.866 90.00 90.00 90.00
Each line ends with the local moment (μB).
Positions (direct):
Ru 0.000 0.500 0.000  -0.27
Ru 0.500 0.000 0.000  -0.27
Tl 0.000 0.000 0.000  0.01
Mo 0.000 0.000 0.500  2.05
Zr 0.500 0.500 0.500  0.05

Summary:
final energy = -39.48 eV per atom
calculated formation energy = 2.0351 eV per atom

***

Ag2Br | meta-GGA SCAN | PBEsol geometry

Lattice parameters (Å, degrees): 3.425 6.261 7.020 71.57 75.88 74.13
Positions (direct):
Ag 0.247 0.719 0.787
Ag 0.645 0.084 0.626
Ag 0.753 0.281 0.213
Ag 0.355 0.916 0.374
Br 0.925 0.345 0.805
Br 0.075 0.655 0.195

Summary:
final energy = -27.46 eV per atom
raw formation energy = -0.06 eV per atom

***

TeRhBr3 | meta-GGA SCAN | PBEsol geometry

Lattice parameters (Å, degrees): 5.539 5.539 5.539 90.00 90.00 90.00
Each line ends with the local moment (μB).
Positions (direct):
Te 0.000 0.000 0.000  -0.01
Rh 0.500 0.500 0.500  1.53
Br 0.000 0.500 0.000  0.00
Br 0.000 0.000 0.500  0.00
Br 0.500 0.000 0.000  0.00

Summary:
final energy = -25.17 eV per atom
raw formation energy = 0.71 eV per atom

***

LiTl2In | meta-GGA SCAN | PBEsol geometry

Lattice parameters (Å, degrees): 4.366 4.711 4.711 90.01 90.00 90.00
Positions (direct):
Tl 0.000 0.500 0.000
Tl 0.000 0.000 0.500
In 0.500 0.000 0.000
Li 0.500 0.500 0.500

Summary:
final energy = -45.24 eV per atom
calculated formation energy = -0.1151 eV per atom

***

BaHgSe2 | meta-GGA SCAN | PBEsol geometry

Lattice parameters (Å, degrees): 4.367 4.367 6.865 90.00 90.00 90.00
Positions (direct):
Ba 0.500 0.500 0.000
Hg 0.500 0.500 0.500
Se 0.000 0.000 0.824
Se 0.000 0.000 0.176

Summary:
final energy = -38.08 eV per atom
raw formation energy = -1.11 eV per atom

***

CrSnHg3 | meta-GGA SCAN | PBEsol geometry

Lattice parameters (Å, degrees): 5.111 5.111 5.111 90.00 90.00 90.00
Each line ends with the local moment (μB).
Positions (direct):
Cr 0.000 0.000 0.000  3.88
Hg 0.000 0.500 0.000  0.05
Hg 0.000 0.000 0.500  0.05
Hg 0.500 0.000 0.000  0.05
Sn 0.500 0.500 0.500  -0.20

Summary:
final energy = -51.31 eV per atom
calculated formation energy = 0.4466 eV per atom

***

CeAl2Ag3 | meta-GGA SCAN | PBEsol geometry

Lattice parameters (Å, degrees): 4.449 5.403 5.447 60.27 90.00 90.00
Each line ends with the local moment (μB).
Positions (direct):
Ce 0.000 0.500 0.000  0.86
Ag 0.000 0.175 0.650  0.00
Ag 0.000 0.825 0.350  0.00
Ag 0.500 0.000 0.000  0.00
Al 0.500 0.500 0.500  -0.01
Al 0.500 0.000 0.500  -0.01

Summary:
final energy = -26.04 eV per atom
calculated formation energy = -0.3420 eV per atom